# 1
This record from OQMD via LeMat-Bulk describes a relaxed Li6TlPt crystal. The functional is PBE-GGA.

Cell: 4.4103 4.4103 6.2726 Å, 90.00 90.00 90.00°
Closest atoms and distances in Å follow each position.
Space group P4/mmm (No. 123)
Inequivalent atoms, fractional coordinates:
Li 0.0000 0.0000 0.0000 x1  8 Li 2.62
Li 0.0000 0.5000 0.2254 x4  5 Li 2.62-2.83, 2 Pt 2.62, 2 Tl 2.80
Li 0.5000 0.5000 0.5000 x1  8 Li 2.80, 4 Tl 3.12
Tl 0.0000 0.0000 0.5000 x1  12 Li 2.80-3.12
Pt 0.5000 0.5000 0.0000 x1  8 Li 2.62

total moment	0.0000	μB/atom
E	-2.786	eV/atom



# 2
This record from OQMD via LeMat-Bulk describes a relaxed Li4TlZnPt2 crystal. The functional is PBE-GGA.

Cell: 4.3550 4.3550 6.4081 Å, 90.00 90.00 90.00°
Closest atoms and distances in Å follow each position.
Space group P-4m2 (No. 115)
Inequivalent atoms, fractional coordinates:
Li 0.0000 0.0000 0.0000 x1  4 Pt 2.80, 4 Li 2.81, 4 Tl 3.08
Li 0.0000 0.5000 0.7223 x2  4 Li 2.60-2.81, 2 Zn 2.60, 2 Tl 2.81, 1 Pt 2.86
Li 0.5000 0.5000 0.5000 x1  4 Li 2.60, 4 Pt 2.61
Tl 0.5000 0.5000 0.0000 x1  4 Pt 2.80, 8 Li 2.81-3.08
Zn 0.0000 0.0000 0.5000 x1  4 Li 2.60, 4 Pt 2.61
Pt 0.0000 0.5000 0.2753 x2  5 Li 2.61-2.86, 2 Zn 2.61, 2 Tl 2.80

total moment	0.0008	μB/atom
E	-3.399	eV/atom



# 3
This record from OQMD via LeMat-Bulk describes a relaxed LiTmPt crystal. The functional is PBE-GGA.

Cell: 6.4410 6.4410 6.4410 Å, 90.00 90.00 90.00°
Closest atoms and distances in Å follow each position.
Space group F-43m (No. 216)
Inequivalent atoms, fractional coordinates:
Li 0.0000 0.0000 0.0000 x4  4 Tm 2.79
Tm 0.2500 0.2500 0.2500 x4  4 Li 2.79, 4 Pt 2.79
Pt 0.0000 0.0000 0.5000 x4  4 Tm 2.79

total moment	0.0003	μB/atom
E	-4.496	eV/atom



# 4
This record from OQMD via LeMat-Bulk describes a relaxed LiTmPt crystal. The functional is PBE-GGA.

Cell: 6.0832 6.0832 6.0832 Å, 90.00 90.00 90.00°
Closest atoms and distances in Å follow each position.
Space group F-43m (No. 216)
Inequivalent atoms, fractional coordinates:
Li 0.0000 0.0000 0.0000 x4  4 Pt 2.63, 4 Tm 2.63
Tm 0.2500 0.2500 0.2500 x4  4 Li 2.63
Pt 0.2500 0.2500 0.7500 x4  4 Li 2.63

total moment	0.0009	μB/atom
E	-4.654	eV/atom



# 5
This record from OQMD via LeMat-Bulk describes a relaxed LiUPt6 crystal. The functional is PBE-GGA.

Cell: 5.7073 5.7073 4.6599 Å, 90.00 90.00 120.00°
Closest atoms and distances in Å follow each position.
Space group P-6m2 (No. 187)
Inequivalent atoms, fractional coordinates:
Li 0.0000 0.0000 0.0000 x1  12 Pt 2.85
U 0.6667 0.3333 0.5000 x1  12 Pt 2.85-2.86
Pt 0.0034 0.5017 0.0000 x3  8 Pt 2.82-2.88, 2 Li 2.85, 2 U 2.86
Pt 0.1664 0.3327 0.5000 x3  8 Pt 2.85-2.86, 2 Li 2.85, 2 U 2.85

total moment	0.0078	μB/atom
E	-6.771	eV/atom



# 6
This record from OQMD via LeMat-Bulk describes a relaxed LiPtW crystal. The functional is PBE-GGA.

Cell: 5.8981 5.8981 5.8981 Å, 90.00 90.00 90.00°
Closest atoms and distances in Å follow each position.
Space group F-43m (No. 216)
Inequivalent atoms, fractional coordinates:
Li 0.0000 0.0000 0.0000 x4  4 W 2.55
Pt 0.0000 0.0000 0.5000 x4  4 W 2.55
W 0.2500 0.2500 0.2500 x4  4 Li 2.55, 4 Pt 2.55

total moment	0.0017	μB/atom
E	-6.459	eV/atom



# 7
This record from OQMD via LeMat-Bulk describes a relaxed LiY2Pt crystal. The functional is PBE-GGA.

Cell: 7.3724 7.5025 7.3168 Å, 90.00 90.00 90.00°
Closest atoms and distances in Å follow each position.
Space group Pnma (No. 62)
Inequivalent atoms, fractional coordinates:
Li 0.0103 0.2500 0.0169 x4  2 Pt 2.86-2.91, 2 Y 3.12
Y 0.1778 0.0043 0.3175 x8  3 Pt 2.87-2.88, 1 Li 3.12
Pt 0.1121 0.7500 0.6052 x4  2 Li 2.86-2.91, 6 Y 2.87-2.88

total moment	0.0018	μB/atom
E	-5.845	eV/atom



# 8
This record from OQMD via LeMat-Bulk describes a relaxed LiY2Pt crystal. The functional is PBE-GGA.

Cell: 7.0419 7.0419 7.0419 Å, 90.00 90.00 90.00°
Closest atoms and distances in Å follow each position.
Space group Fm-3m (No. 225)
Inequivalent atoms, fractional coordinates:
Li 0.0000 0.0000 0.0000 x4  8 Y 3.05
Y 0.2500 0.2500 0.2500 x8  4 Li 3.05, 4 Pt 3.05
Pt 0.0000 0.0000 0.5000 x4  8 Y 3.05

total moment	0.0006	μB/atom
E	-5.886	eV/atom



# 9
This record from OQMD via LeMat-Bulk describes a relaxed LiY2Pt crystal. The functional is PBE-GGA.

Cell: 6.8883 6.8883 6.8883 Å, 90.00 90.00 90.00°
Closest atoms and distances in Å follow each position.
Space group F-43m (No. 216)
Inequivalent atoms, fractional coordinates:
Li 0.0000 0.0000 0.0000 x4  4 Y 2.98, 4 Pt 2.98
Y 0.0000 0.0000 0.5000 x4  4 Pt 2.98, 4 Y 2.98
Y 0.2500 0.2500 0.7500 x4  4 Li 2.98, 4 Y 2.98
Pt 0.2500 0.2500 0.2500 x4  4 Li 2.98, 4 Y 2.98

total moment	0.0005	μB/atom
E	-5.599	eV/atom



# 10
This record from OQMD via LeMat-Bulk describes a relaxed LiY2Pt crystal. The functional is PBE-GGA.

Cell: 4.1139 4.1139 15.7880 Å, 90.00 90.00 120.00°
Closest atoms and distances in Å follow each position.
Space group P6_3/mmc (No. 194)
Inequivalent atoms, fractional coordinates:
Li 0.3333 0.6667 0.2500 x2  6 Y 3.42
Y 0.3333 0.6667 0.5938 x4  3 Pt 2.80
Pt 0.0000 0.0000 0.0000 x2  6 Y 2.80

total moment	0.0104	μB/atom
E	-5.696	eV/atom



# 11
This record from OQMD via LeMat-Bulk describes a relaxed LiY3Pt8 crystal. The functional is PBE-GGA.

Cell: 5.4054 5.4054 26.4903 Å, 90.00 90.00 120.00°
Closest atoms and distances in Å follow each position.
Space group R3m (No. 160, hexagonal axes)
Inequivalent atoms, fractional coordinates:
Li 0.0000 0.0000 0.0000 x3  12 Pt 2.98-3.30, 4 Y 3.20-3.29
Y 0.0000 0.0000 0.1243 x3  12 Pt 3.04-3.39, 1 Li 3.29
Y 0.0000 0.0000 0.5116 x3  12 Pt 3.13-3.22, 4 Y 3.41-3.43
Y 0.0000 0.0000 0.6402 x3  12 Pt 3.04-3.26, 3 Li 3.20
Pt 0.0000 0.0000 0.3217 x3  6 Pt 2.70-2.71
Pt 0.0000 0.0000 0.8216 x3  6 Pt 2.70-2.71
Pt 0.0028 0.5014 0.0717 x9  6 Pt 2.68-2.73
Pt 0.1672 0.3343 0.9045 x9  6 Pt 2.69-2.71, 1 Li 2.98

total moment	0.0008	μB/atom
E	-6.798	eV/atom



# 12
This record from OQMD via LeMat-Bulk describes a relaxed LiYPt crystal. The functional is PBE-GGA.

Cell: 6.5252 6.5252 6.5252 Å, 90.00 90.00 90.00°
Closest atoms and distances in Å follow each position.
Space group F-43m (No. 216)
Inequivalent atoms, fractional coordinates:
Li 0.0000 0.0000 0.0000 x4  4 Y 2.83
Y 0.2500 0.2500 0.2500 x4  4 Li 2.83, 4 Pt 2.83
Pt 0.0000 0.0000 0.5000 x4  4 Y 2.83

total moment	0.0002	μB/atom
E	-5.108	eV/atom



Which value of E does entry 1 give? -2.786 eV/atom



What is the formula in the ninth record? LiY2Pt



What is the formula in the tenth record? LiY2Pt



What did the eighth record say?
This record from OQMD via LeMat-Bulk describes a relaxed LiY2Pt crystal. The functional is PBE-GGA.

Cell: 7.0419 7.0419 7.0419 Å, 90.00 90.00 90.00°
Closest atoms and distances in Å follow each position.
Space group Fm-3m (No. 225)
Inequivalent atoms, fractional coordinates:
Li 0.0000 0.0000 0.0000 x4  8 Y 3.05
Y 0.2500 0.2500 0.2500 x8  4 Li 3.05, 4 Pt 3.05
Pt 0.0000 0.0000 0.5000 x4  8 Y 3.05

total moment	0.0006	μB/atom
E	-5.886	eV/atom